No. 1
An optimized crystal structure of YTmIr2. Source: Alexandria, functional PBEsol.

Values from the calculation:
space-group type	Fm-3m (225)

The structure in POSCAR format:
```
YTmIr2
1.0
4.746 0.000 0.000
2.373 4.110 0.000
2.373 1.370 3.875
Ir Y Tm
2 1 1
direct
0.250 0.250 0.250
0.750 0.750 0.750
0.000 0.000 0.000
0.500 0.500 0.500
```


No. 2
An optimized crystal structure of UIr3. Source: Alexandria, functional PBEsol.

Values from the calculation:
space-group type	Pm-3m (221)

The structure in POSCAR format:
```
UIr3
1.0
4.000 0.000 0.000
0.000 4.000 0.000
0.000 0.000 4.000
Ir U
3 1
direct
0.000 0.500 0.500
0.500 0.500 0.000
0.500 0.000 0.500
0.000 0.000 0.000
```


No. 3
An optimized crystal structure of VIr. Source: Alexandria, functional PBEsol.

Values from the calculation:
space-group type	Immm (71)

The structure in POSCAR format:
```
VIr
1.0
7.106 0.000 0.000
3.553 7.784 -0.001
3.553 0.036 7.783
Ir V
16 16
direct
0.860 0.624 0.123
0.606 0.376 0.877
0.394 0.123 0.624
0.606 0.877 0.376
0.384 0.873 0.873
0.851 0.373 0.373
0.870 0.873 0.873
0.140 0.376 0.877
0.140 0.877 0.376
0.130 0.127 0.127
0.860 0.123 0.624
0.616 0.127 0.127
0.597 0.627 0.627
0.394 0.624 0.123
0.149 0.627 0.627
0.403 0.373 0.373
0.000 0.379 0.621
0.769 0.850 0.612
0.769 0.612 0.850
0.772 0.359 0.097
0.228 0.641 0.903
0.500 0.632 0.368
0.228 0.903 0.641
0.231 0.150 0.388
0.500 0.368 0.632
0.500 0.883 0.117
0.000 0.130 0.870
0.000 0.870 0.130
0.772 0.097 0.359
0.231 0.388 0.150
0.000 0.621 0.379
0.500 0.117 0.883
```


No. 4
An optimized crystal structure of VIr. Source: Alexandria, functional PBEsol.

Values from the calculation:
space-group type	P4/mmm (123)

The structure in POSCAR format:
```
VIr
1.0
2.723 0.000 0.000
0.000 2.723 0.000
0.000 0.000 3.626
V Ir
1 1
direct
0.500 0.500 0.500
0.000 0.000 0.000
```


No. 5
An optimized crystal structure of VIr. Source: Alexandria, functional PBEsol.

Values from the calculation:
space-group type	Cmmm (65)

The structure in POSCAR format:
```
VIr
1.0
2.781 0.000 0.000
0.000 4.408 0.014
0.000 -0.653 4.359
Ir V
2 2
direct
0.500 0.216 0.784
0.500 0.784 0.216
0.000 0.704 0.704
0.000 0.296 0.296
```


No. 6
An optimized crystal structure of V3Ir. Source: Alexandria, functional PBEsol.

Values from the calculation:
space-group type	Pm-3n (223)

The structure in POSCAR format:
```
V3Ir
1.0
4.728 0.000 0.000
0.000 4.728 0.000
0.000 0.000 4.728
V Ir
6 2
direct
0.500 0.750 0.000
0.500 0.250 0.000
0.000 0.500 0.750
0.250 0.000 0.500
0.000 0.500 0.250
0.750 0.000 0.500
0.000 0.000 0.000
0.500 0.500 0.500
```


No. 7
An optimized crystal structure of VIr. Source: Alexandria, functional PBEsol.

Values from the calculation:
space-group type	Cmcm (63)

The structure in POSCAR format:
```
VIr
1.0
6.556 0.015 0.000
-2.688 5.980 0.000
0.000 0.000 10.975
Ir V
16 16
direct
0.268 0.268 0.500
0.735 0.730 0.250
0.017 0.526 0.750
0.000 0.500 0.000
0.474 0.983 0.750
0.983 0.474 0.250
0.526 0.017 0.250
0.265 0.270 0.750
0.000 0.500 0.500
0.732 0.732 0.000
0.500 0.000 0.000
0.732 0.732 0.500
0.268 0.268 0.000
0.500 0.000 0.500
0.270 0.265 0.250
0.730 0.735 0.750
0.359 0.641 0.133
0.895 0.105 0.116
0.632 0.368 0.383
0.123 0.877 0.132
0.641 0.359 0.867
0.632 0.368 0.117
0.123 0.877 0.368
0.895 0.105 0.384
0.359 0.641 0.367
0.877 0.123 0.632
0.105 0.895 0.616
0.105 0.895 0.884
0.368 0.632 0.883
0.877 0.123 0.868
0.368 0.632 0.617
0.641 0.359 0.633
```


No. 8
An optimized crystal structure of Ir8W. Source: Alexandria, functional PBEsol.

Values from the calculation:
space-group type	I4/mmm (139)

The structure in POSCAR format:
```
Ir8W
1.0
3.841 0.000 0.000
1.921 5.767 0.000
1.921 0.000 5.767
Ir W
8 1
direct
0.337 0.326 0.000
0.663 0.674 0.000
0.337 0.000 0.326
0.000 0.332 0.668
0.668 0.332 0.332
0.332 0.668 0.668
0.000 0.668 0.332
0.663 0.000 0.674
0.000 0.000 0.000
```


| no. | total energy (eV per atom) | DFT formation energy (eV per formula unit) | DOS at the Fermi energy (states/eV/cell) |
| --- | --- | --- | --- |
| 1 | -8.6698 | -3.3 | 1.66 |
| 2 | -11.0114 | -2.4 | 2.81 |
| 3 | -10.2460 | -1.0 | 15.38 |
| 4 | -10.2339 | -1.0 | 2.24 |
| 5 | -10.2620 | -1.1 | 2.87 |
| 6 | -10.1874 | -2.0 | 4.80 |
| 7 | -10.2423 | -1.0 | 19.51 |
| 8 | -10.4227 | -1.4 | 6.94 |